Density functional theory data (GGA-PBE) for HfVFe after structural relaxation.

Computed properties:
- Magnetization: 0.00 μB/atom
- E above lowest polymorph: 93.9 kJ/mol of atoms
- Formation enthalpy at 0 K: 0.72 eV/atom
- VASP energy: -25.39 eV for the cell shown
- SG: I4mm, No. 107

The structure in POSCAR format:
```
HfVFe
1.0
2.830 0.000 0.000
0.000 2.830 0.000
-1.415 -1.415 6.452
Hf Fe V
1 1 1
direct
0.959 0.959 0.918
0.149 0.149 0.298
0.742 0.742 0.484
```